Compound: BaNiRhO3
Source: Alexandria via LeMat-Bulk
Functional: GGA+U
Structure: optimized geometry

Computed properties:
The volume is 16.18 Å³ per atom. The calculation puts the total moment at 1.63 μB per formula unit. The space group is No. 63. As for the total DFT energy (no corrections): -67.721 eV per cell.

Cell: 5.3602 5.7566 6.9208 Å, 114.58 90.00 90.00°
Closest atoms and distances in Å follow each position.
Sites, in units of the cell vectors:
Rh 0.7500 0.5088 0.0177  4 O 2.03
O 0.0000 0.7641 0.0000  2 Rh 2.03, 2 Ni 2.05
O 0.0000 0.2359 0.0000  2 Rh 2.03, 2 Ni 2.05
Ni 0.7500 0.9396 0.8793  5 O 1.93-2.05
O 0.2500 0.2138 0.4277  1 Ni 1.93
Ni 0.2500 0.0604 0.1207  5 O 1.93-2.05
O 0.7500 0.7862 0.5723  1 Ni 1.93
O 0.5000 0.2359 0.0000  2 Rh 2.03, 2 Ni 2.05
Ba 0.2500 0.7543 0.5086  4 O 2.71-2.92
Rh 0.2500 0.4912 0.9823  4 O 2.03
Ba 0.7500 0.2457 0.4914  4 O 2.71-2.92
O 0.5000 0.7641 0.0000  2 Rh 2.03, 2 Ni 2.05